Below is an optimized crystal structure of Sm3Al9Ag2, with properties calculated at the PBE level.

As for the formation energy: -9.27 kcal/mol of atoms. Its uncorrected energy is -59.2 eV/f.u. For the density of states at the Fermi level, the calculation gives 7.02 states/eV/cell. Its crystal system is orthorhombic.

The space group is Immm (No. 71) and the conventional cell measures 4.363, 10.198 and 12.647 Å, with angles of 90.00, 90.00 and 90.00 degrees. The inequivalent atoms are Sm at (0.000, 0.000, 0.000), Sm at (0.000, 0.000, 0.312), Al at (0.000, 0.277, 0.133), Al at (0.000, 0.371, 0.337), Al at (0.000, 0.500, 0.000) and Ag at (0.000, 0.214, 0.500).

Below is an optimized crystal structure of Sm2Al5Ag3, with properties calculated at the PBE level.

As for the formation energy: -8.64 kcal/mol of atoms. Its uncorrected energy is -40.5 eV/f.u. For the density of states at the Fermi level, the calculation gives 15.63 states/eV/cell. Its crystal system is orthorhombic.

The space group is Ibam (No. 72) and the conventional cell measures 10.836, 12.299 and 6.137 Å, with angles of 90.00, 90.00 and 90.00 degrees. The inequivalent atoms are Sm at (0.238, 0.130, 0.000), Al at (0.000, 0.000, 0.250), Al at (0.000, 0.266, 0.250), Al at (0.149, 0.386, 0.000), Ag at (0.000, 0.500, 0.250) and Ag at (0.121, 0.132, 0.500).

Below is an optimized crystal structure of SmAl2Ag6, with properties calculated at the PBE level.

As for the formation energy: -3.85 kcal/mol of atoms. Its uncorrected energy is -30.8 eV/f.u. For the density of states at the Fermi level, the calculation gives 5.15 states/eV/cell. Its crystal system is tetragonal.

The space group is P4/mmm (No. 123) and the conventional cell measures 4.308, 4.308 and 9.477 Å, with angles of 90.00, 90.00 and 90.00 degrees. The inequivalent atoms are Sm at (0.000, 0.000, 0.000), Al at (0.500, 0.500, 0.133), Ag at (0.000, 0.000, 0.500), Ag at (0.000, 0.500, 0.289) and Ag at (0.500, 0.500, 0.500).

Below is an optimized crystal structure of SmAl4Ag2, with properties calculated at the PBE level.

As for the formation energy: -4.86 kcal/mol of atoms. Its uncorrected energy is -26.9 eV/f.u. For the density of states at the Fermi level, the calculation gives 2.57 states/eV/cell. Its crystal system is orthorhombic.

The space group is Cmmm (No. 65) and the conventional cell measures 4.167, 15.884 and 4.152 Å, with angles of 90.00, 90.00 and 90.00 degrees. The inequivalent atoms are Sm at (0.000, 0.000, 0.000), Al at (0.000, 0.187, 0.500), Al at (0.000, 0.310, 0.000) and Ag at (0.000, 0.415, 0.500).

Below is an optimized crystal structure of Sm6AlAg3, with properties calculated at the PBE level.

As for the formation energy: -4.45 kcal/mol of atoms. Its uncorrected energy is -42.5 eV/f.u. For the density of states at the Fermi level, the calculation gives 18.06 states/eV/cell. Its crystal system is monoclinic.

The space group is P2_1/m (No. 11) and the conventional cell measures 9.340, 5.153 and 11.705 Å, with angles of 90.00, 104.21 and 90.00 degrees. The inequivalent atoms are Sm at (0.002, 0.250, 0.109), Sm at (0.152, 0.250, 0.694), Sm at (0.254, 0.750, 0.513), Sm at (0.353, 0.250, 0.341), Sm at (0.365, 0.750, 0.113), Sm at (0.383, 0.750, 0.836), Al at (0.452, 0.250, 0.624), Ag at (0.034, 0.250, 0.384), Ag at (0.140, 0.750, 0.248) and Ag at (0.274, 0.250, 0.968).

Below is an optimized crystal structure of SmAl3Ag2, with properties calculated at the PBE level.

As for the formation energy: -3.55 kcal/mol of atoms. Its uncorrected energy is -22.6 eV/f.u. For the density of states at the Fermi level, the calculation gives 10.58 states/eV/cell. Its crystal system is orthorhombic.

The space group is Cmcm (No. 63) and the conventional cell measures 11.475, 7.417 and 5.816 Å, with angles of 90.00, 90.00 and 90.00 degrees. The inequivalent atoms are Sm at (0.000, 0.147, 0.250), Al at (0.000, 0.292, 0.750), Al at (0.210, 0.190, 0.750) and Ag at (0.145, 0.500, 0.000).

Below is an optimized crystal structure of Sm3Al2Ag, with properties calculated at the PBE level.

As for the formation energy: -7.90 kcal/mol of atoms. Its uncorrected energy is -26.6 eV/f.u. For the density of states at the Fermi level, the calculation gives 4.13 states/eV/cell. Its crystal system is tetragonal.

The space group is P4/mmm (No. 123) and the conventional cell measures 3.549, 3.549 and 11.954 Å, with angles of 90.00, 90.00 and 90.00 degrees. The inequivalent atoms are Sm at (0.000, 0.000, 0.000), Sm at (0.000, 0.000, 0.331), Al at (0.500, 0.500, 0.169) and Ag at (0.500, 0.500, 0.500).

Below is an optimized crystal structure of Sm2Al7Ag12, with properties calculated at the PBE level.

As for the formation energy: -3.55 kcal/mol of atoms. Its uncorrected energy is -73.1 eV/f.u. For the density of states at the Fermi level, the calculation gives 6.03 states/eV/cell. Its crystal system is trigonal.

The space group is P-3 (No. 147) and the conventional cell measures 10.6591, 10.6591 and 4.0964 Å, with angles of 90.00, 90.00 and 120.00 degrees. The inequivalent atoms are Sm at (0.3333, 0.6667, 0.2454), Al at (0.0000, 0.0000, 0.5000), Al at (0.1187, 0.7056, 0.7450), Ag at (0.0600, 0.4372, 0.7519) and Ag at (0.1198, 0.2610, 0.2410).